1.
Density functional theory data (PBE) for a relaxed LaPr3Ir crystal.

**Size of the total moment**: 1.5 μB/f.u.
**ΔE_f**: -0.151 eV per atom

Cell lengths 5.6904, 5.6904, 5.6904 Å; angles 90.00, 90.00, 90.00 degrees
Last column: nearest neighbours and their distance in Å.
Space group Pm-3m (No. 221)
Asymmetric unit:
La: 0.0000 0.0000 0.0000  12 Pr 4.02
Pr: 0.0000 0.5000 0.5000  2 Ir 2.85
Ir: 0.5000 0.5000 0.5000  6 Pr 2.85

---

2.
Density functional theory data (PBE) for a relaxed PmAs2Ru crystal.

**Size of the total moment**: 0.0 μB/f.u.
**ΔE_f**: -0.755 eV per atom

Cell lengths 4.1405, 4.1405, 15.9923 Å; angles 90.00, 90.00, 120.00 degrees
Last column: nearest neighbours and their distance in Å.
Space group R-3m (No. 166, hexagonal axes)
Asymmetric unit:
Pm: 0.0000 0.0000 0.0000  6 As 2.95
As: 0.0000 0.0000 0.2250  3 Ru 2.57
Ru: 0.0000 0.0000 0.5000  6 As 2.57

---

3.
Density functional theory data (PBE) for a relaxed LiAc2LaHg4 crystal.

**Size of the total moment**: 0.0 μB/f.u.
**ΔE_f**: -0.443 eV per atom

Cell lengths 5.4982, 5.4982, 27.5096 Å; angles 90.00, 90.00, 120.00 degrees
Last column: nearest neighbours and their distance in Å.
Space group R-3m (No. 166, hexagonal axes)
Asymmetric unit:
Li: 0.0000 0.0000 0.0000  8 Hg 3.37-3.47
Ac: 0.0000 0.0000 0.2554  8 Hg 3.28-3.56
La: 0.0000 0.0000 0.5000  8 Hg 3.37-3.45
Hg: 0.0000 0.0000 0.1260  3 La 3.37, 4 Ac 3.44-3.56, 1 Li 3.47
Hg: 0.0000 0.0000 0.3747  4 Ac 3.28-3.33, 3 Li 3.37, 1 La 3.45

---

4.
Density functional theory data (PBE) for a relaxed ZnReBr2 crystal.

**Size of the total moment**: 0.0 μB/f.u.
**Electronic total energy**: -3.631 eV per atom

Cell lengths 3.0568, 4.7910, 12.2606 Å; angles 90.00, 90.00, 90.00 degrees
Last column: nearest neighbours and their distance in Å.
Space group Imm2 (No. 44)
Asymmetric unit:
Zn: 0.0000 0.0000 0.0000  2 Re 2.62
Re: 0.0000 0.5000 0.3264  6 Br 2.56-2.85, 2 Zn 2.62
Br: 0.0000 0.0000 0.6587  2 Re 2.56
Br: 0.0000 0.5000 0.8459  4 Re 2.85, 2 Zn 3.05, 2 Br 3.06

---

5.
Density functional theory data (PBE) for a relaxed Hf2TaMo2 crystal.

**Size of the total moment**: 0.0 μB/f.u.
**ΔE_f**: 0.757 eV per atom

Cell lengths 4.0228, 4.0228, 12.4725 Å; angles 90.00, 90.00, 90.00 degrees
Last column: nearest neighbours and their distance in Å.
Space group I4/mmm (No. 139)
Asymmetric unit:
Hf: 0.0000 0.5000 0.2500  4 Mo 2.83, 4 Hf 2.84
Ta: 0.0000 0.0000 0.0000  8 Mo 3.06
Mo: 0.0000 0.0000 0.4094  1 Mo 2.26

---

6.
Density functional theory data (PBE) for a relaxed Tb2ThPt3 crystal.

**Size of the total moment**: 0.0 μB/f.u.
**ΔE_f**: -1.192 eV per atom

Cell lengths 13.0342, 5.8387, 8.2390 Å; angles 90.00, 108.38, 90.00 degrees
Last column: nearest neighbours and their distance in Å.
Space group C2/c (No. 15)
Asymmetric unit:
Tb: 0.1653 0.0013 0.0825  6 Pt 2.90-2.93
Th: 0.0000 0.4993 0.2500  6 Pt 2.91-2.92
Pt: 0.0000 0.0007 0.7500  4 Tb 2.90, 2 Th 2.92
Pt: 0.1663 0.4988 0.5834  2 Th 2.91, 4 Tb 2.92-2.93

---

7.
Density functional theory data (PBE) for a relaxed Hf3TcCl crystal.

**Size of the total moment**: 0.0 μB/f.u.
**Electronic total energy**: -7.928 eV per atom

Cell lengths 5.0594, 5.0594, 5.0594 Å; angles 90.00, 90.00, 90.00 degrees
Last column: nearest neighbours and their distance in Å.
Space group Pm-3m (No. 221)
Asymmetric unit:
Hf: 0.0000 0.0000 0.5000  2 Tc 2.53
Tc: 0.0000 0.0000 0.0000  6 Hf 2.53
Cl: 0.5000 0.5000 0.5000  12 Hf 3.58

---

8.
Density functional theory data (PBE) for a relaxed Zr2Mn7 crystal.

**Size of the total moment**: 1.1 μB/f.u.
**ΔE_f**: -0.066 eV per atom

Cell lengths 4.9384, 4.9384, 35.3528 Å; angles 90.00, 90.00, 120.00 degrees
Last column: nearest neighbours and their distance in Å.
Space group R-3m (No. 166, hexagonal axes)
Asymmetric unit:
Zr: 0.0000 0.0000 0.0520  12 Mn 2.85-3.08
Zr: 0.0000 0.0000 0.1500  12 Mn 2.83-2.92, 3 Zr 3.08
Mn: 0.0000 0.0000 0.2785  6 Mn 2.40-2.43
Mn: 0.0000 0.0000 0.3889  6 Mn 2.43
Mn: 0.0000 0.0000 0.5000  6 Mn 2.44
Mn: 0.0000 0.5000 0.0000  8 Mn 2.40-2.47
Mn: 0.0044 0.5022 0.8891  7 Mn 2.43-2.50

---

9.
Density functional theory data (PBE) for a relaxed TaZnS2 crystal.

**Size of the total moment**: 0.0 μB/f.u.
**Electronic total energy**: -5.560 eV per atom

Cell lengths 5.7433, 5.7433, 9.9011 Å; angles 90.00, 90.00, 90.00 degrees
Last column: nearest neighbours and their distance in Å.
Space group I-42d (No. 122)
Asymmetric unit:
Ta: 0.0000 0.0000 0.0000  4 S 2.40
Zn: 0.0000 0.0000 0.5000  4 S 2.35
S: 0.2426 0.2500 0.6250  2 Zn 2.35, 2 Ta 2.40

---

10.
Density functional theory data (PBE) for a relaxed Mg2Ga4Ir3 crystal.

**Size of the total moment**: 0.0 μB/f.u.
**ΔE_f**: -0.271 eV per atom

Cell lengths 5.4482, 9.3355, 12.2727 Å; angles 90.00, 90.00, 90.00 degrees
Last column: nearest neighbours and their distance in Å.
Space group Fmmm (No. 69)
Asymmetric unit:
Mg: 0.0000 0.0000 0.1126  1 Mg 2.76, 6 Ir 3.04-3.05, 2 Ga 3.10
Ga: 0.0000 0.1629 0.3323  3 Ir 2.56-2.60, 1 Ga 2.59
Ir: 0.0000 0.0000 0.5000  4 Ga 2.56, 4 Ir 2.70
Ir: 0.2500 0.2500 0.0000  4 Ga 2.60, 4 Ir 2.70-2.72

---

11.
Density functional theory data (PBE) for a relaxed Rb3NpRh3Se8 crystal.

**Size of the total moment**: 3.0 μB/f.u.
**Electronic total energy**: -5.170 eV per atom

Cell lengths 7.6575, 7.6575, 23.7191 Å; angles 90.00, 90.00, 120.00 degrees
Last column: nearest neighbours and their distance in Å.
Space group R-3m (No. 166, hexagonal axes)
Asymmetric unit:
Rb: 0.0000 0.5000 0.0000  6 Se 3.41-3.49
Np: 0.0000 0.0000 0.5000  6 Se 2.82
Rh: 0.0000 0.5000 0.5000  6 Se 2.54-2.57
Se: 0.0000 0.0000 0.2192  3 Rh 2.54
Se: 0.0312 0.5156 0.7721  2 Rh 2.57, 1 Np 2.82

---

12.
Density functional theory data (PBE) for a relaxed ZrTlRh2 crystal.

**Size of the total moment**: 0.0 μB/f.u.
**ΔE_f**: -0.214 eV per atom

Cell lengths 3.2855, 3.2855, 24.8210 Å; angles 90.00, 90.00, 120.00 degrees
Last column: nearest neighbours and their distance in Å.
Space group R-3m (No. 166, hexagonal axes)
Asymmetric unit:
Zr: 0.0000 0.0000 0.0000  6 Rh 2.70
Tl: 0.0000 0.0000 0.5000  6 Rh 2.92
Rh: 0.0000 0.0000 0.2558  3 Zr 2.70, 3 Tl 2.92

---

no.,mass density (g/cm3)
1,6.79
2,8.31
3,9.70
4,7.61
5,12.01
6,12.67
7,8.58
8,7.57
9,6.31
10,9.62
11,5.93
12,10.76